*one*
## CsNa2Hg2 (SCAN)

Data for a PBEsol-optimized structure of CsNa2Hg2.

Values from the calculation:
* density: 6.1 g cm⁻³

a = 9.1900 Å, b = 9.1900 Å, c = 3.7689 Å
α = 90.00°, β = 90.00°, γ = 90.00°
Last column: nearest neighbours and their distance in Å.
Space group P4/mbm (No. 127)
Asymmetric unit:
Cs 0.0000 0.0000 0.0000  4 Hg 3.68, 2 Cs 3.77, 8 Na 3.92
Na 0.1635 0.3365 0.5000  6 Hg 3.23-3.41
Hg 0.1177 0.6177 0.0000  1 Hg 3.06, 6 Na 3.23-3.41

*two*
## CsNa2Hg2 (SCAN)

Data for a PBEsol-optimized structure of CsNa2Hg2.

Values from the calculation:
* density: 5.3 g cm⁻³

a = 5.6213 Å, b = 5.6213 Å, c = 11.4641 Å
α = 90.00°, β = 90.00°, γ = 90.00°
Last column: nearest neighbours and their distance in Å.
Space group I4/mmm (No. 139)
Asymmetric unit:
Cs 0.0000 0.0000 0.0000  8 Hg 4.01, 10 Na 4.04-4.32
Na 0.0000 0.0000 0.3527  4 Hg 3.05, 1 Na 3.38
Hg 0.0000 0.5000 0.2500  4 Na 3.05

Top of the stability list: *one*, leading by 0.005 eV/atom.